Crystalline NbMoHRh2 at its relaxed geometry. Source: the Alexandria database, functional GGA-PBE.

It has space group P4/mmm (No. 123), with a = 3.939 Å, b = 3.939 Å, c = 4.098 Å, α = 90.00°, β = 90.00° and γ = 90.00°. The inequivalent atoms are Nb at (0.000, 0.000, 0.000), Mo at (0.500, 0.500, 0.000), H at (0.500, 0.500, 0.500) and Rh at (0.000, 0.500, 0.500).

The magnetic moment is 0.00 μB per formula unit. As for the total energy: -8.05 eV/atom.

Crystalline Nb2MoHRh at its relaxed geometry. Source: the Alexandria database, functional GGA-PBE.

It has space group P4/mmm (No. 123), with a = 4.431 Å, b = 4.431 Å, c = 3.517 Å, α = 90.00°, β = 90.00° and γ = 90.00°. The inequivalent atoms are Nb at (0.000, 0.500, 0.000), Mo at (0.000, 0.000, 0.500), H at (0.500, 0.500, 0.000) and Rh at (0.500, 0.500, 0.500).

The magnetic moment is 0.00 μB per formula unit. As for the total energy: -8.51 eV/atom.

Crystalline NbMoHRh2 at its relaxed geometry. Source: the Alexandria database, functional GGA-PBE.

It has space group P4/mmm (No. 123), with a = 3.925 Å, b = 3.925 Å, c = 4.130 Å, α = 90.00°, β = 90.00° and γ = 90.00°. The inequivalent atoms are Nb at (0.000, 0.000, 0.000), Mo at (0.500, 0.500, 0.000), H at (0.000, 0.000, 0.500) and Rh at (0.000, 0.500, 0.500).

The magnetic moment is 0.00 μB per formula unit. As for the total energy: -8.03 eV/atom.

Crystalline NbMo2HRh at its relaxed geometry. Source: the Alexandria database, functional GGA-PBE.

It has space group P4/mmm (No. 123), with a = 4.015 Å, b = 4.015 Å, c = 4.100 Å, α = 90.00°, β = 90.00° and γ = 90.00°. The inequivalent atoms are Nb at (0.000, 0.000, 0.000), Mo at (0.000, 0.500, 0.500), H at (0.500, 0.500, 0.500) and Rh at (0.500, 0.500, 0.000).

The magnetic moment is 0.00 μB per formula unit. As for the total energy: -8.52 eV/atom.

Crystalline NbMoHRu2 at its relaxed geometry. Source: the Alexandria database, functional GGA-PBE.

It has space group P4/mmm (No. 123), with a = 3.973 Å, b = 3.973 Å, c = 4.034 Å, α = 90.00°, β = 90.00° and γ = 90.00°. The inequivalent atoms are Nb at (0.000, 0.000, 0.000), Mo at (0.500, 0.500, 0.000), H at (0.000, 0.000, 0.500) and Ru at (0.000, 0.500, 0.500).

The magnetic moment is 0.00 μB per formula unit. As for the total energy: -8.61 eV/atom.

Crystalline NbMoHRu2 at its relaxed geometry. Source: the Alexandria database, functional GGA-PBE.

It has space group P4/mmm (No. 123), with a = 3.988 Å, b = 3.988 Å, c = 4.001 Å, α = 90.00°, β = 90.00° and γ = 90.00°. The inequivalent atoms are Nb at (0.000, 0.000, 0.000), Mo at (0.500, 0.500, 0.000), H at (0.500, 0.500, 0.500) and Ru at (0.000, 0.500, 0.500).

The magnetic moment is 0.00 μB per formula unit. As for the total energy: -8.62 eV/atom.

Crystalline Nb2SbMoH at its relaxed geometry. Source: the Alexandria database, functional GGA-PBE.

It has space group P4/mmm (No. 123), with a = 4.198 Å, b = 4.198 Å, c = 4.231 Å, α = 90.00°, β = 90.00° and γ = 90.00°. The inequivalent atoms are Nb at (0.000, 0.500, 0.000), Sb at (0.000, 0.000, 0.500), Mo at (0.500, 0.500, 0.500) and H at (0.500, 0.500, 0.000).

The magnetic moment is 0.28 μB per formula unit. As for the total energy: -7.71 eV/atom.

Crystalline TaNbSiMoH at its relaxed geometry. Source: the Alexandria database, functional GGA-PBE.

It has space group Cm (No. 8), with a = 9.876 Å, b = 3.306 Å, c = 4.278 Å, α = 90.00°, β = 91.12° and γ = 90.00°. The inequivalent atoms are Ta at (0.000, 0.000, 0.000), Nb at (0.222, 0.500, 0.474), Si at (0.278, 0.000, 0.983), Mo at (0.443, 0.000, 0.484) and H at (0.077, 0.500, 0.792).

The magnetic moment is 0.00 μB per formula unit. As for the total energy: -8.49 eV/atom.

Crystalline TaNbSiMoH at its relaxed geometry. Source: the Alexandria database, functional GGA-PBE.

It has space group Amm2 (No. 38), with a = 3.379 Å, b = 3.213 Å, c = 13.104 Å, α = 90.00°, β = 90.00° and γ = 90.00°. The inequivalent atoms are Ta at (0.000, 0.000, 0.000), Nb at (0.500, 0.000, 0.350), Si at (0.000, 0.000, 0.206), Mo at (0.500, 0.000, 0.622) and H at (0.500, 0.000, 0.924).

The magnetic moment is 0.00 μB per formula unit. As for the total energy: -8.49 eV/atom.

Crystalline TaNbSiMoH at its relaxed geometry. Source: the Alexandria database, functional GGA-PBE.

It has space group Cm (No. 8), with a = 9.254 Å, b = 3.286 Å, c = 4.689 Å, α = 90.00°, β = 107.52° and γ = 90.00°. The inequivalent atoms are Ta at (0.000, 0.000, 0.000), Nb at (0.241, 0.000, 0.735), Si at (0.487, 0.000, 0.462), Mo at (0.261, 0.500, 0.289) and H at (0.126, 0.500, 0.905).

The magnetic moment is 0.00 μB per formula unit. As for the total energy: -8.42 eV/atom.

Crystalline TaNbSiMoH at its relaxed geometry. Source: the Alexandria database, functional GGA-PBE.

It has space group Cm (No. 8), with a = 10.508 Å, b = 3.250 Å, c = 4.291 Å, α = 90.00°, β = 110.08° and γ = 90.00°. The inequivalent atoms are Ta at (0.000, 0.000, 0.000), Nb at (0.250, 0.500, 0.238), Si at (0.196, 0.000, 0.672), Mo at (0.494, 0.000, 0.503) and H at (0.359, 0.000, 0.091).

The magnetic moment is 0.00 μB per formula unit. As for the total energy: -8.44 eV/atom.

Crystalline TaNbSiMoH at its relaxed geometry. Source: the Alexandria database, functional GGA-PBE.

It has space group Cm (No. 8), with a = 9.579 Å, b = 3.283 Å, c = 4.565 Å, α = 90.00°, β = 106.95° and γ = 90.00°. The inequivalent atoms are Ta at (0.000, 0.000, 0.000), Nb at (0.254, 0.500, 0.248), Si at (0.254, 0.000, 0.762), Mo at (0.025, 0.500, 0.539) and H at (0.442, 0.500, 0.549).

The magnetic moment is 0.00 μB per formula unit. As for the total energy: -8.41 eV/atom.